BeHg3O | Alexandria | PBE-GGA | optimized geometry; relative energy among the computed polymorphs = 0.00 kcal/mol of atoms; E_form (uncorrected) = 496 meV/atom
1.0
4.7734 0.0000 0.0000
0.0000 4.7734 0.0000
0.0000 0.0000 4.7734
Be Hg O
1 3 1
Direct
0.0000 0.0000 0.0000
0.0000 0.0000 0.5000
0.0000 0.5000 0.0000
0.5000 0.0000 0.0000
0.5000 0.5000 0.5000